[1]
Computed, not measured: a geometry-optimized Re2OsRh structure at the GGA-PBE level of DFT. Values from VASP.

**Density**: 18.96 Mg/m³
**ΔH_f (0 K)**: -2 kJ/mol of atoms
**Final energy**: -43.55 eV for the cell shown

The structure in Quantum ESPRESSO input format:
```
&SYSTEM
  ibrav = 0, nat = 4, ntyp = 3
/
ATOMIC_SPECIES
Re 186.21 Re.upf
Os 190.23 Os.upf
Rh 102.91 Rh.upf
ATOMIC_POSITIONS angstrom
Re -1.624 -0.729 -1.574
Re 1.562 -1.744 0.405
Os -0.846 -2.937 -0.145
Rh -0.784 -0.464 1.024
CELL_PARAMETERS angstrom
-3.248 -1.457 -3.148
3.123 -3.489 0.811
-1.568 -0.928 2.047
```

[2]
Computed, not measured: a geometry-optimized Ba2TeH2 structure at the GGA-PBE level of DFT. Values from VASP.

**Density**: 5.29 Mg/m³
**Final energy**: -34.41 eV for the cell shown

The structure in Quantum ESPRESSO input format:
```
&SYSTEM
  ibrav = 0, nat = 10, ntyp = 3
/
ATOMIC_SPECIES
H 1.01 H.upf
Ba 137.33 Ba.upf
Te 127.60 Te.upf
ATOMIC_POSITIONS angstrom
H 0.880 3.192 0.000
H 7.264 4.952 0.000
H 4.952 0.880 0.000
H 3.192 7.264 0.000
Ba 2.676 1.396 1.913
Ba 5.468 6.748 1.913
Ba 1.396 5.468 1.913
Ba 6.748 2.676 1.913
Te 0.000 0.000 0.000
Te 4.072 4.072 0.000
CELL_PARAMETERS angstrom
8.144 0.000 0.000
0.000 8.144 0.000
0.000 0.000 3.825
```

[3]
Computed, not measured: a geometry-optimized PmHfTh2 structure at the GGA-PBE level of DFT. Values from VASP.

**Density**: 10.96 Mg/m³
**ΔH_f (0 K)**: 15 kJ/mol of atoms
**Final energy**: -28.93 eV for the cell shown

The structure in Quantum ESPRESSO input format:
```
&SYSTEM
  ibrav = 0, nat = 4, ntyp = 3
/
ATOMIC_SPECIES
Pm 145.00 Pm.upf
Th 232.04 Th.upf
Hf 178.49 Hf.upf
ATOMIC_POSITIONS angstrom
Pm 3.484 2.011 5.727
Th 1.742 1.006 8.662
Th 1.742 1.006 2.675
Hf 5.225 3.017 11.312
CELL_PARAMETERS angstrom
3.484 0.000 0.000
1.742 3.017 0.000
1.742 1.006 11.350
```